[1]
First-principles (PBE) data for CsB4Au after structural relaxation, as listed in the Open Quantum Materials Database.

Unit cell a=6.2203 b=6.2203 c=6.2203 alpha=152.88 beta=125.29 gamma=62.11
Positions (direct):
Cs 0.0000 0.0000 0.0000
B 0.1086 0.7575 0.3511
B 0.4064 0.7575 0.6489
B 0.5936 0.2425 0.3511
B 0.8914 0.2425 0.6489
Au 0.5000 0.5000 0.0000

Excess energy over the best structure of this formula in the dataset   0.146 eV per atom
Uncorrected energy   -4.28 eV/atom

***

[2]
First-principles (PBE) data for CsBAu after structural relaxation, as listed in the Open Quantum Materials Database.

Unit cell a=4.9836 b=4.9836 c=4.9836 alpha=60.00 beta=60.00 gamma=60.00
Positions (direct):
Cs 0.0000 0.0000 0.0000
B 0.7500 0.7500 0.7500
Au 0.5000 0.5000 0.5000

Excess energy over the best structure of this formula in the dataset   0.000 eV per atom
Uncorrected energy   -2.19 eV/atom

***

[3]
First-principles (PBE) data for CsB4Au after structural relaxation, as listed in the Open Quantum Materials Database.

Unit cell a=3.1874 b=3.1874 c=9.1103 alpha=90.00 beta=90.00 gamma=120.00
Positions (direct):
Cs 0.0000 0.0000 0.0000
B 0.3333 0.6667 0.3007
B 0.3333 0.6667 0.6993
B 0.6667 0.3333 0.3007
B 0.6667 0.3333 0.6993
Au 0.0000 0.0000 0.5000

Excess energy over the best structure of this formula in the dataset   0.000 eV per atom
Uncorrected energy   -4.42 eV/atom

***

[4]
First-principles (PBE) data for CsGaBAu after structural relaxation, as listed in the Open Quantum Materials Database.

Unit cell a=5.2360 b=5.2360 c=5.2360 alpha=60.00 beta=60.00 gamma=60.00
Positions (direct):
Cs 0.0000 0.0000 0.0000
Ga 0.2500 0.2500 0.2500
B 0.5000 0.5000 0.5000
Au 0.7500 0.7500 0.7500

Excess energy over the best structure of this formula in the dataset   0.119 eV per atom
Uncorrected energy   -2.16 eV/atom

***

[5]
First-principles (PBE) data for CsGaBAu after structural relaxation, as listed in the Open Quantum Materials Database.

Unit cell a=5.0712 b=5.0712 c=5.0712 alpha=60.00 beta=60.00 gamma=60.00
Positions (direct):
Cs 0.0000 0.0000 0.0000
Ga 0.2500 0.2500 0.2500
B 0.7500 0.7500 0.7500
Au 0.5000 0.5000 0.5000

Excess energy over the best structure of this formula in the dataset   0.000 eV per atom
Uncorrected energy   -2.28 eV/atom

***

[6]
First-principles (PBE) data for CsTlBAu after structural relaxation, as listed in the Open Quantum Materials Database.

Unit cell a=5.3395 b=5.3395 c=5.3395 alpha=60.00 beta=60.00 gamma=60.00
Positions (direct):
Cs 0.0000 0.0000 0.0000
Tl 0.7500 0.7500 0.7500
B 0.2500 0.2500 0.2500
Au 0.5000 0.5000 0.5000

Excess energy over the best structure of this formula in the dataset   0.068 eV per atom
Uncorrected energy   -2.14 eV/atom

***

[7]
First-principles (PBE) data for CsTlBAu after structural relaxation, as listed in the Open Quantum Materials Database.

Unit cell a=5.4032 b=5.4032 c=5.4032 alpha=60.00 beta=60.00 gamma=60.00
Positions (direct):
Cs 0.0000 0.0000 0.0000
Tl 0.5000 0.5000 0.5000
B 0.7500 0.7500 0.7500
Au 0.2500 0.2500 0.2500

Excess energy over the best structure of this formula in the dataset   0.000 eV per atom
Uncorrected energy   -2.21 eV/atom

***

[8]
First-principles (PBE) data for CsTlBAu after structural relaxation, as listed in the Open Quantum Materials Database.

Unit cell a=5.4507 b=5.4507 c=5.4507 alpha=60.00 beta=60.00 gamma=60.00
Positions (direct):
Cs 0.0000 0.0000 0.0000
Tl 0.7500 0.7500 0.7500
B 0.5000 0.5000 0.5000
Au 0.2500 0.2500 0.2500

Excess energy over the best structure of this formula in the dataset   0.123 eV per atom
Uncorrected energy   -2.08 eV/atom